Model P:
# NdAl2PdAu, relaxed, DFT PBE-GGA
data_NdAl2PdAu
_cell_length_a 4.406
_cell_length_b 4.406
_cell_length_c 10.312
_cell_angle_alpha 90.00
_cell_angle_beta 90.00
_cell_angle_gamma 90.00
_space_group_name_H-M_alt 'P 1'
_space_group_IT_number 1
loop_
_space_group_symop_operation_xyz
'x,y,z'
loop_
_atom_site_label
_atom_site_type_symbol
_atom_site_fract_x
_atom_site_fract_y
_atom_site_fract_z
Nd1 Nd 0.250 0.250 0.247
Nd2 Nd 0.750 0.750 0.753
Al1 Al 0.250 0.250 0.638
Al2 Al 0.250 0.750 0.000
Al3 Al 0.750 0.250 0.000
Al4 Al 0.750 0.750 0.362
Pd1 Pd 0.250 0.250 0.876
Pd2 Pd 0.750 0.750 0.124
Au1 Au 0.250 0.750 0.500
Au2 Au 0.750 0.250 0.500
# - Symmetry: P4/nmm, No. 129
# - Crystal system: tetragonal

Model Q:
# NdAl2PdAu, relaxed, DFT PBE-GGA
data_NdAl2PdAu
_cell_length_a 4.376
_cell_length_b 4.376
_cell_length_c 10.421
_cell_angle_alpha 90.00
_cell_angle_beta 90.00
_cell_angle_gamma 90.00
_space_group_name_H-M_alt 'P 1'
_space_group_IT_number 1
loop_
_space_group_symop_operation_xyz
'x,y,z'
loop_
_atom_site_label
_atom_site_type_symbol
_atom_site_fract_x
_atom_site_fract_y
_atom_site_fract_z
Nd1 Nd 0.250 0.250 0.247
Nd2 Nd 0.750 0.750 0.753
Al1 Al 0.250 0.250 0.880
Al2 Al 0.250 0.750 0.500
Al3 Al 0.750 0.250 0.500
Al4 Al 0.750 0.750 0.120
Pd1 Pd 0.250 0.750 0.000
Pd2 Pd 0.750 0.250 0.000
Au1 Au 0.250 0.250 0.637
Au2 Au 0.750 0.750 0.363
# - Symmetry: P4/nmm, No. 129
# - Crystal system: tetragonal

Of them, model Q has the highest stability.

Model P:
# AlNiPbAu, relaxed, DFT PBE-GGA
data_AlNiPbAu
_cell_length_a 6.634
_cell_length_b 6.634
_cell_length_c 6.634
_cell_angle_alpha 90.00
_cell_angle_beta 90.00
_cell_angle_gamma 90.00
_space_group_name_H-M_alt 'P 1'
_space_group_IT_number 1
loop_
_space_group_symop_operation_xyz
'x,y,z'
loop_
_atom_site_label
_atom_site_type_symbol
_atom_site_fract_x
_atom_site_fract_y
_atom_site_fract_z
Al1 Al 0.000 0.000 0.000
Al2 Al 0.000 0.500 0.500
Al3 Al 0.500 0.000 0.500
Al4 Al 0.500 0.500 0.000
Ni1 Ni 0.250 0.250 0.250
Ni2 Ni 0.250 0.750 0.750
Ni3 Ni 0.750 0.250 0.750
Ni4 Ni 0.750 0.750 0.250
Pb1 Pb 0.000 0.000 0.500
Pb2 Pb 0.000 0.500 0.000
Pb3 Pb 0.500 0.000 0.000
Pb4 Pb 0.500 0.500 0.500
Au1 Au 0.250 0.250 0.750
Au2 Au 0.250 0.750 0.250
Au3 Au 0.750 0.250 0.250
Au4 Au 0.750 0.750 0.750
# - Symmetry: F-43m, No. 216
# - Crystal system: cubic

Model Q:
# AlNiPbAu, relaxed, DFT PBE-GGA
data_AlNiPbAu
_cell_length_a 6.627
_cell_length_b 6.627
_cell_length_c 6.627
_cell_angle_alpha 90.00
_cell_angle_beta 90.00
_cell_angle_gamma 90.00
_space_group_name_H-M_alt 'P 1'
_space_group_IT_number 1
loop_
_space_group_symop_operation_xyz
'x,y,z'
loop_
_atom_site_label
_atom_site_type_symbol
_atom_site_fract_x
_atom_site_fract_y
_atom_site_fract_z
Al1 Al 0.000 0.000 0.000
Al2 Al 0.000 0.500 0.500
Al3 Al 0.500 0.000 0.500
Al4 Al 0.500 0.500 0.000
Ni1 Ni 0.000 0.000 0.500
Ni2 Ni 0.000 0.500 0.000
Ni3 Ni 0.500 0.000 0.000
Ni4 Ni 0.500 0.500 0.500
Pb1 Pb 0.250 0.250 0.750
Pb2 Pb 0.250 0.750 0.250
Pb3 Pb 0.750 0.250 0.250
Pb4 Pb 0.750 0.750 0.750
Au1 Au 0.250 0.250 0.250
Au2 Au 0.250 0.750 0.750
Au3 Au 0.750 0.250 0.750
Au4 Au 0.750 0.750 0.250
# - Symmetry: F-43m, No. 216
# - Crystal system: cubic

Of them, model P has the highest stability.

Model P:
# AlNiSnAu, relaxed, DFT PBE-GGA
data_AlNiSnAu
_cell_length_a 6.489
_cell_length_b 6.489
_cell_length_c 6.489
_cell_angle_alpha 90.00
_cell_angle_beta 90.00
_cell_angle_gamma 90.00
_space_group_name_H-M_alt 'P 1'
_space_group_IT_number 1
loop_
_space_group_symop_operation_xyz
'x,y,z'
loop_
_atom_site_label
_atom_site_type_symbol
_atom_site_fract_x
_atom_site_fract_y
_atom_site_fract_z
Al1 Al 0.000 0.000 0.000
Al2 Al 0.000 0.500 0.500
Al3 Al 0.500 0.000 0.500
Al4 Al 0.500 0.500 0.000
Ni1 Ni 0.000 0.000 0.500
Ni2 Ni 0.000 0.500 0.000
Ni3 Ni 0.500 0.000 0.000
Ni4 Ni 0.500 0.500 0.500
Sn1 Sn 0.250 0.250 0.750
Sn2 Sn 0.250 0.750 0.250
Sn3 Sn 0.750 0.250 0.250
Sn4 Sn 0.750 0.750 0.750
Au1 Au 0.250 0.250 0.250
Au2 Au 0.250 0.750 0.750
Au3 Au 0.750 0.250 0.750
Au4 Au 0.750 0.750 0.250
# - Symmetry: F-43m, No. 216
# - Crystal system: cubic

Model Q:
# AlNiSnAu, relaxed, DFT PBE-GGA
data_AlNiSnAu
_cell_length_a 6.485
_cell_length_b 6.485
_cell_length_c 6.485
_cell_angle_alpha 90.00
_cell_angle_beta 90.00
_cell_angle_gamma 90.00
_space_group_name_H-M_alt 'P 1'
_space_group_IT_number 1
loop_
_space_group_symop_operation_xyz
'x,y,z'
loop_
_atom_site_label
_atom_site_type_symbol
_atom_site_fract_x
_atom_site_fract_y
_atom_site_fract_z
Al1 Al 0.000 0.000 0.000
Al2 Al 0.000 0.500 0.500
Al3 Al 0.500 0.000 0.500
Al4 Al 0.500 0.500 0.000
Ni1 Ni 0.250 0.250 0.250
Ni2 Ni 0.250 0.750 0.750
Ni3 Ni 0.750 0.250 0.750
Ni4 Ni 0.750 0.750 0.250
Sn1 Sn 0.000 0.000 0.500
Sn2 Sn 0.000 0.500 0.000
Sn3 Sn 0.500 0.000 0.000
Sn4 Sn 0.500 0.500 0.500
Au1 Au 0.250 0.250 0.750
Au2 Au 0.250 0.750 0.250
Au3 Au 0.750 0.250 0.250
Au4 Au 0.750 0.750 0.750
# - Symmetry: F-43m, No. 216
# - Crystal system: cubic

Of them, model Q has the highest stability.

Model P:
# Al2Au2O5, relaxed, DFT PBE-GGA
data_Al2Au2O5
_cell_length_a 3.624
_cell_length_b 3.624
_cell_length_c 7.604
_cell_angle_alpha 90.00
_cell_angle_beta 90.00
_cell_angle_gamma 90.00
_space_group_name_H-M_alt 'P 1'
_space_group_IT_number 1
loop_
_space_group_symop_operation_xyz
'x,y,z'
loop_
_atom_site_label
_atom_site_type_symbol
_atom_site_fract_x
_atom_site_fract_y
_atom_site_fract_z
Al1 Al 0.000 0.000 0.237
Al2 Al 0.000 0.000 0.763
Au1 Au 0.500 0.500 0.000
Au2 Au 0.500 0.500 0.500
O1 O 0.000 0.000 0.000
O2 O 0.000 0.500 0.304
O3 O 0.000 0.500 0.696
O4 O 0.500 0.000 0.304
O5 O 0.500 0.000 0.696
# - Symmetry: P4/mmm, No. 123
# - Crystal system: tetragonal

Model Q:
# Al2Au2O5, relaxed, DFT PBE-GGA
data_Al2Au2O5
_cell_length_a 3.944
_cell_length_b 3.944
_cell_length_c 6.983
_cell_angle_alpha 90.00
_cell_angle_beta 90.00
_cell_angle_gamma 90.00
_space_group_name_H-M_alt 'P 1'
_space_group_IT_number 1
loop_
_space_group_symop_operation_xyz
'x,y,z'
loop_
_atom_site_label
_atom_site_type_symbol
_atom_site_fract_x
_atom_site_fract_y
_atom_site_fract_z
Al1 Al 0.000 0.000 0.000
Al2 Al 0.000 0.000 0.500
Au1 Au 0.500 0.500 0.199
Au2 Au 0.500 0.500 0.801
O1 O 0.000 0.500 0.294
O2 O 0.000 0.500 0.706
O3 O 0.500 0.000 0.294
O4 O 0.500 0.000 0.706
O5 O 0.500 0.500 0.500
# - Symmetry: P4/mmm, No. 123
# - Crystal system: tetragonal

Of them, model P has the highest stability.

Model P:
# AlTeAuO, relaxed, DFT PBE-GGA
data_AlTeAuO
_cell_length_a 3.712
_cell_length_b 3.712
_cell_length_c 10.224
_cell_angle_alpha 90.00
_cell_angle_beta 90.00
_cell_angle_gamma 90.00
_space_group_name_H-M_alt 'P 1'
_space_group_IT_number 1
loop_
_space_group_symop_operation_xyz
'x,y,z'
loop_
_atom_site_label
_atom_site_type_symbol
_atom_site_fract_x
_atom_site_fract_y
_atom_site_fract_z
Al1 Al 0.250 0.250 0.077
Al2 Al 0.750 0.750 0.923
Te1 Te 0.250 0.250 0.727
Te2 Te 0.750 0.750 0.273
Au1 Au 0.250 0.750 0.500
Au2 Au 0.750 0.250 0.500
O1 O 0.250 0.750 0.000
O2 O 0.750 0.250 0.000
# - Symmetry: P4/nmm, No. 129
# - Crystal system: tetragonal

Model Q:
# AlTeAuO, relaxed, DFT PBE-GGA
data_AlTeAuO
_cell_length_a 4.161
_cell_length_b 7.962
_cell_length_c 5.539
_cell_angle_alpha 90.00
_cell_angle_beta 90.00
_cell_angle_gamma 90.00
_space_group_name_H-M_alt 'P 1'
_space_group_IT_number 1
loop_
_space_group_symop_operation_xyz
'x,y,z'
loop_
_atom_site_label
_atom_site_type_symbol
_atom_site_fract_x
_atom_site_fract_y
_atom_site_fract_z
Al1 Al 0.000 0.104 0.000
Al2 Al 0.000 0.896 0.500
Te1 Te 0.500 0.310 0.105
Te2 Te 0.500 0.690 0.605
Au1 Au 0.500 0.327 0.599
Au2 Au 0.500 0.673 0.099
O1 O 0.000 0.062 0.697
O2 O 0.000 0.938 0.197
# - Symmetry: Pmc2_1, No. 26
# - Crystal system: orthorhombic

Of them, model Q has the highest stability.

Model P:
# AlPdAu, relaxed, DFT PBE-GGA
data_AlPdAu
_cell_length_a 5.951
_cell_length_b 5.951
_cell_length_c 5.951
_cell_angle_alpha 90.00
_cell_angle_beta 90.00
_cell_angle_gamma 90.00
_space_group_name_H-M_alt 'P 1'
_space_group_IT_number 1
loop_
_space_group_symop_operation_xyz
'x,y,z'
loop_
_atom_site_label
_atom_site_type_symbol
_atom_site_fract_x
_atom_site_fract_y
_atom_site_fract_z
Al1 Al 0.000 0.000 0.000
Al2 Al 0.000 0.500 0.500
Al3 Al 0.500 0.000 0.500
Al4 Al 0.500 0.500 0.000
Pd1 Pd 0.250 0.250 0.250
Pd2 Pd 0.250 0.750 0.750
Pd3 Pd 0.750 0.250 0.750
Pd4 Pd 0.750 0.750 0.250
Au1 Au 0.250 0.250 0.750
Au2 Au 0.250 0.750 0.250
Au3 Au 0.750 0.250 0.250
Au4 Au 0.750 0.750 0.750
# - Symmetry: F-43m, No. 216
# - Crystal system: cubic

Model Q:
# AlPdAu, relaxed, DFT PBE-GGA
data_AlPdAu
_cell_length_a 7.455
_cell_length_b 7.455
_cell_length_c 3.014
_cell_angle_alpha 90.00
_cell_angle_beta 90.00
_cell_angle_gamma 120.00
_space_group_name_H-M_alt 'P 1'
_space_group_IT_number 1
loop_
_space_group_symop_operation_xyz
'x,y,z'
loop_
_atom_site_label
_atom_site_type_symbol
_atom_site_fract_x
_atom_site_fract_y
_atom_site_fract_z
Al1 Al 0.000 0.697 0.000
Al2 Al 0.303 0.303 0.000
Al3 Al 0.697 0.000 0.000
Pd1 Pd 0.000 0.368 0.500
Pd2 Pd 0.368 0.000 0.500
Pd3 Pd 0.632 0.632 0.500
Au1 Au 0.000 0.000 0.500
Au2 Au 0.333 0.667 0.000
Au3 Au 0.667 0.333 0.000
# - Symmetry: P-62m, No. 189
# - Crystal system: hexagonal

Of them, model P has the highest stability.